[1]
Sn2GeTe | PBE-GGA | relaxed

Output
Space-group type: Fm-3m, No. 225
Energy above the lowest structure with this stoichiometry (kJ/mol of atoms): 18.6

a b c (Å): 5.269 5.269 5.269
angles (deg): 60.00 60.00 60.00
Atoms (fractional coordinates):
Ge1 0.000 0.000 0.000
Te1 0.500 0.500 0.500
Sn1 0.250 0.250 0.250
Sn2 0.750 0.750 0.750

=====

[2]
SnGe2Te2 | PBE-GGA | relaxed

Output
Space-group type: P4/mbm, No. 127
Energy above the lowest structure with this stoichiometry (kJ/mol of atoms): 0.0

a b c (Å): 8.142 8.142 4.025
angles (deg): 90.00 90.00 90.00
Atoms (fractional coordinates):
Ge1 0.347 0.847 0.000
Ge2 0.847 0.653 0.000
Ge3 0.653 0.153 0.000
Ge4 0.153 0.347 0.000
Te1 0.174 0.674 0.500
Te2 0.674 0.826 0.500
Te3 0.826 0.326 0.500
Te4 0.326 0.174 0.500
Sn1 0.000 0.000 0.000
Sn2 0.500 0.500 0.000

=====

[3]
SnGe5Te7 | PBE-GGA | relaxed

Output
Space-group type: P2_1, No. 4

a b c (Å): 4.242 7.489 24.529
angles (deg): 90.00 90.00 106.52
Atoms (fractional coordinates):
Sn1 0.847 0.692 0.264
Sn2 0.154 0.309 0.764
Ge1 0.999 0.996 0.002
Ge2 0.717 0.435 0.922
Ge3 0.287 0.583 0.076
Ge4 0.569 0.137 0.355
Ge5 0.426 0.844 0.644
Ge6 0.002 0.005 0.502
Ge7 0.283 0.566 0.422
Ge8 0.713 0.418 0.576
Ge9 0.431 0.864 0.855
Ge10 0.575 0.158 0.144
Te1 0.492 0.982 0.249
Te2 0.509 0.019 0.749
Te3 0.638 0.271 0.032
Te4 0.362 0.719 0.965
Te5 0.363 0.731 0.532
Te6 0.639 0.282 0.465
Te7 0.196 0.395 0.178
Te8 0.813 0.626 0.819
Te9 0.804 0.607 0.678
Te10 0.188 0.375 0.319
Te11 0.913 0.826 0.108
Te12 0.094 0.186 0.885
Te13 0.088 0.175 0.608
Te14 0.907 0.815 0.385

=====

[4]
SnGeTe2 | PBE-GGA | relaxed

Output
Space-group type: I-42d, No. 122
Energy above the lowest structure with this stoichiometry (kJ/mol of atoms): 25.1

a b c (Å): 7.024 7.024 8.483
angles (deg): 65.54 65.54 90.00
Atoms (fractional coordinates):
Ge1 0.500 0.500 0.000
Ge2 0.250 0.750 0.500
Te1 0.599 0.125 0.250
Te2 0.151 0.625 0.250
Te3 0.375 0.401 0.750
Te4 0.875 0.849 0.750
Sn1 0.000 0.000 0.000
Sn2 0.750 0.250 0.500

=====

[5]
SnGeTe2 | PBE-GGA | relaxed

Output
Space-group type: R-3m, No. 166
Energy above the lowest structure with this stoichiometry (kJ/mol of atoms): 38.6

a b c (Å): 12.604 12.604 12.604
angles (deg): 14.60 14.60 14.60
Atoms (fractional coordinates):
Ge1 0.000 0.000 0.000
Te1 0.081 0.081 0.081
Te2 0.919 0.919 0.919
Sn1 0.500 0.500 0.500

=====

[6]
SnGeTe | PBE-GGA | relaxed

Output
Space-group type: P3m1, No. 156

a b c (Å): 5.420 4.167 4.167
angles (deg): 120.00 90.00 90.00
Atoms (fractional coordinates):
Ge1 0.328 0.667 0.333
Te1 0.651 0.333 0.667
Sn1 0.021 0.000 0.000

=====

no.,formation energy (no corrections) (kJ/mol of formula units)
1,70
2,59
3,-105
4,33
5,87
6,15